Entry 1:
{
  "formula": "Nb2CuBiN",
  "functional": "PBE",
  "state": "optimized geometry",
  "crystal_system": "tetragonal",
  "lattice": [[4.760, 0.000, 0.000], [0.000, 4.760, 0.000], [0.000, 0.000, 4.824]],
  "species": ["Nb", "Nb", "Cu", "Bi", "N"],
  "fractional_positions": [[0.000, 0.500, 0.000], [0.500, 0.000, 0.000], [0.000, 0.000, 0.000], [0.000, 0.000, 0.500], [0.500, 0.500, 0.500]]
}

---

Entry 2:
{
  "formula": "CuBiNO2",
  "functional": "PBE",
  "state": "optimized geometry",
  "crystal_system": "tetragonal",
  "lattice": [[3.874, 0.000, 0.000], [0.000, 3.874, 0.000], [0.000, 0.000, 3.845]],
  "species": ["Cu", "Bi", "N", "O", "O"],
  "fractional_positions": [[0.000, 0.000, 0.000], [0.500, 0.500, 0.500], [0.000, 0.000, 0.500], [0.000, 0.500, 0.000], [0.500, 0.000, 0.000]]
}

---

So what do the calculations give for uncorrected energy? Going down the list: -5.161; -5.107 eV/atom.
So what do the calculations give for ΔE_f (raw)? Going down the list: 2128; 137 meV per atom.